(1)
Compound: Li3ScPa3Te8
Source: the Alexandria database
Functional: PBE-GGA
Structure: optimized geometry

Output
**M_tot**: 4.90 μB per formula unit
**ρ**: 6.6 g/cm³
**DFT total energy**: -5.3019 eV per atom
**E_form (uncorrected)**: -13.83 eV/f.u.

a = 8.4578 Å, b = 8.4578 Å, c = 21.7591 Å
α = 90.00°, β = 90.00°, γ = 120.00°
Space group R-3m (No. 166, hexagonal axes)
Inequivalent atoms, fractional coordinates:
Li 0.0000 0.5000 0.0000
Sc 0.0000 0.0000 0.5000
Pa 0.0000 0.5000 0.5000
Te 0.0000 0.0000 0.2557
Te 0.0112 0.5056 0.2507

(2)
Compound: Sm4AgAu3
Source: the Alexandria database
Functional: PBE-GGA
Structure: optimized geometry

Output
**M_tot**: 0.00 μB per formula unit
**ρ**: 10.5 g/cm³
**DFT total energy**: -4.6334 eV per atom

a = 3.823 Å, b = 4.787 Å, c = 11.241 Å
α = 90.00°, β = 90.00°, γ = 90.00°
Space group Pmm2 (No. 25)
Inequivalent atoms, fractional coordinates:
Sm 0.000 0.000 0.000
Sm 0.000 0.500 0.273
Sm 0.500 0.000 0.494
Sm 0.500 0.500 0.774
Ag 0.000 0.000 0.718
Au 0.000 0.500 0.551
Au 0.500 0.000 0.222
Au 0.500 0.500 0.049

(3)
Compound: Sn2PbCl
Source: the Alexandria database
Functional: PBE-GGA
Structure: optimized geometry

Output
**Distance to the lowest polymorph of the same formula**: 0.058 eV/atom
**M_tot**: 0.00 μB per formula unit
**ρ**: 7.3 g/cm³
**DFT total energy**: -3.5144 eV per atom
**E_form (uncorrected)**: -0.50 eV/f.u.

a = 7.577 Å, b = 7.577 Å, c = 7.577 Å
α = 90.00°, β = 90.00°, γ = 90.00°
Space group Fm-3m (No. 225)
Inequivalent atoms, fractional coordinates:
Sn 0.250 0.250 0.250
Pb 0.000 0.000 0.000
Cl 0.000 0.000 0.500

(4)
Compound: Er2Th3Sc4
Source: the Alexandria database
Functional: PBE-GGA
Structure: optimized geometry

Output
**Distance to the lowest polymorph of the same formula**: 0.000 eV/atom
**M_tot**: 0.00 μB per formula unit
**ρ**: 7.8 g/cm³
**DFT total energy**: -6.2012 eV per atom

a = 3.4400 Å, b = 3.4400 Å, c = 25.2691 Å
α = 90.00°, β = 90.00°, γ = 120.00°
Space group P3m1 (No. 156)
Inequivalent atoms, fractional coordinates:
Er 0.0000 0.0000 0.0000
Er 0.0000 0.0000 0.2312
Th 0.0000 0.0000 0.7841
Th 0.3333 0.6667 0.1187
Th 0.3333 0.6667 0.4625
Sc 0.0000 0.0000 0.3555
Sc 0.0000 0.0000 0.5742
Sc 0.3333 0.6667 0.6736
Sc 0.3333 0.6667 0.8940

(5)
Compound: Cu6Rh
Source: the Alexandria database
Functional: PBE-GGA
Structure: optimized geometry

Output
**Distance to the lowest polymorph of the same formula**: 0.000 eV/atom
**M_tot**: 0.00 μB per formula unit
**ρ**: 9.3 g/cm³
**DFT total energy**: -4.5206 eV per atom

a = 4.1209 Å, b = 4.1209 Å, c = 17.6795 Å
α = 90.00°, β = 90.00°, γ = 120.00°
Space group R-3m (No. 166, hexagonal axes)
Inequivalent atoms, fractional coordinates:
Cu 0.0000 0.0000 0.0732
Cu 0.0000 0.0000 0.2184
Cu 0.0000 0.0000 0.3560
Rh 0.0000 0.0000 0.5000

(6)
Compound: ZrPtIN2
Source: the Alexandria database
Functional: PBE-GGA
Structure: optimized geometry

Output
**Distance to the lowest polymorph of the same formula**: 0.000 eV/atom
**M_tot**: 0.03 μB per formula unit
**ρ**: 6.8 g/cm³
**DFT total energy**: -5.8427 eV per atom
**E_form (uncorrected)**: 3.58 eV/f.u.

a = 4.076 Å, b = 4.076 Å, c = 6.487 Å
α = 90.00°, β = 90.00°, γ = 90.00°
Space group P4/mmm (No. 123)
Inequivalent atoms, fractional coordinates:
Zr 0.000 0.000 0.000
Pt 0.500 0.500 0.500
I 0.000 0.000 0.500
N 0.000 0.500 0.000

(7)
Compound: Pr11Cd9Au4
Source: the Alexandria database
Functional: PBE-GGA
Structure: optimized geometry

Output
**M_tot**: 0.01 μB per formula unit
**ρ**: 8.3 g/cm³
**DFT total energy**: -3.5653 eV per atom

a = 15.243 Å, b = 22.922 Å, c = 3.832 Å
α = 90.00°, β = 90.00°, γ = 90.00°
Space group Cmmm (No. 65)
Inequivalent atoms, fractional coordinates:
Pr 0.000 0.000 0.000
Pr 0.000 0.164 0.000
Pr 0.000 0.368 0.000
Pr 0.202 0.500 0.000
Pr 0.240 0.173 0.000
Cd 0.000 0.500 0.500
Cd 0.103 0.263 0.500
Cd 0.141 0.072 0.500
Au 0.151 0.400 0.500

(8)
Compound: TeIrPd
Source: the Alexandria database
Functional: PBE-GGA
Structure: optimized geometry

Output
**M_tot**: 0.00 μB per formula unit
**ρ**: 11.6 g/cm³
**DFT total energy**: -5.7296 eV per atom
**E_form (uncorrected)**: 0.01 eV/f.u.

a = 8.328 Å, b = 4.131 Å, c = 7.093 Å
α = 90.00°, β = 90.00°, γ = 90.00°
Space group Amm2 (No. 38)
Inequivalent atoms, fractional coordinates:
Te 0.212 0.000 0.000
Ir 0.341 0.000 0.665
Pd 0.000 0.000 0.688
Pd 0.500 0.000 0.330

(9)
Compound: HgSb2PbAu
Source: the Alexandria database
Functional: PBE-GGA
Structure: optimized geometry

Output
**M_tot**: 0.00 μB per formula unit
**ρ**: 8.7 g/cm³
**DFT total energy**: -2.5453 eV per atom
**E_form (uncorrected)**: 2.81 eV/f.u.

a = 5.603 Å, b = 5.603 Å, c = 5.172 Å
α = 90.00°, β = 90.00°, γ = 90.00°
Space group P4/mmm (No. 123)
Inequivalent atoms, fractional coordinates:
Hg 0.000 0.000 0.000
Sb 0.000 0.500 0.000
Pb 0.500 0.500 0.500
Au 0.000 0.000 0.500

(10)
Compound: Rb2LaIrO4
Source: the Alexandria database
Functional: PBE-GGA
Structure: optimized geometry

Output
**M_tot**: 2.00 μB per formula unit
**ρ**: 6.0 g/cm³
**DFT total energy**: -6.0732 eV per atom
**E_form (uncorrected)**: -13.03 eV/f.u.

a = 6.477 Å, b = 6.477 Å, c = 7.480 Å
α = 90.00°, β = 90.00°, γ = 90.00°
Space group I-4 (No. 82)
Inequivalent atoms, fractional coordinates:
Rb 0.000 0.000 0.000
Rb 0.000 0.500 0.250
La 0.000 0.000 0.500
Ir 0.000 0.500 0.750
O 0.139 0.768 0.705

(11)
Compound: Ca2ReP2
Source: the Alexandria database
Functional: PBE-GGA
Structure: optimized geometry

Output
**M_tot**: 0.00 μB per formula unit
**ρ**: 5.9 g/cm³
**DFT total energy**: -6.0551 eV per atom

a = 6.378 Å, b = 6.378 Å, c = 4.546 Å
α = 90.00°, β = 90.00°, γ = 90.00°
Space group P4/mbm (No. 127)
Inequivalent atoms, fractional coordinates:
Ca 0.180 0.320 0.000
Re 0.000 0.000 0.500
P 0.136 0.636 0.500

(12)
Compound: Th6Ge2CS3
Source: the Alexandria database
Functional: PBE-GGA
Structure: optimized geometry

Output
**M_tot**: 0.00 μB per formula unit
**ρ**: 9.3 g/cm³
**DFT total energy**: -7.5134 eV per atom
**E_form (uncorrected)**: -14.80 eV/f.u.

a = 17.849 Å, b = 4.086 Å, c = 8.270 Å
α = 90.00°, β = 102.48°, γ = 90.00°
Space group C2/m (No. 12)
Inequivalent atoms, fractional coordinates:
Th 0.003 0.000 0.281
Th 0.151 0.500 0.570
Th 0.164 0.500 0.088
Ge 0.166 0.000 0.833
C 0.000 0.500 0.500
S 0.000 0.500 0.000
S 0.173 0.000 0.338